Density functional theory data (GGA-PBE) for BaSnRu2Br after structural relaxation.

Values from the calculation:
Formation energy (no corrections) ... 0.71 eV/atom

a = 4.9509 Å, b = 4.9509 Å, c = 6.3137 Å
α = 90.00°, β = 90.00°, γ = 90.00°
Closest atoms and distances in Å follow each position.
Space group P4/mmm (No. 123)
Asymmetric unit:
Ba 0.0000 0.0000 0.0000  2 Sn 3.16, 4 Br 3.50
Sn 0.0000 0.0000 0.5000  4 Ru 2.48
Ru 0.0000 0.5000 0.5000  2 Sn 2.48
Br 0.5000 0.5000 0.0000  4 Ba 3.50